VASP calculation (PBE) on CuNi2N2 after structural relaxation.

a = 6.012 Å, b = 6.012 Å, c = 2.562 Å
α = 90.00°, β = 90.00°, γ = 90.00°
Space group P4/mbm (No. 127)
Symmetry-distinct sites (fractional):
Cu  0.000  0.000  0.000 x2
Ni  0.140  0.360  0.000 x4
N  0.151  0.651  0.500 x4

Results
Magnetization ... 0.00 μB/atom
Theoretical density ... 7.50 Mg/m³
Total energy ... -5.42 eV per atom
Formation energy without anion corrections ... 1.040 eV per atom



VASP calculation (PBE) on YGaW2C after structural relaxation.

a = 4.166 Å, b = 4.166 Å, c = 4.816 Å
α = 90.00°, β = 90.00°, γ = 90.00°
Space group P4/mmm (No. 123)
Symmetry-distinct sites (fractional):
Y  0.000  0.000  0.000 x1
Ga  0.500  0.500  0.000 x1
W  0.000  0.500  0.500 x2
C  0.000  0.000  0.500 x1

Results
Energy of formation ... 0.6 eV/f.u.
Magnetization ... 0.00 μB/atom
Theoretical density ... 10.69 Mg/m³
Total energy ... -8.81 eV per atom